Record 1
A relaxed SrMg3Sn crystal, computed with PBE.

- distance to the lowest polymorph of the same formula (eV per atom) = 0.000
- total energy (eV per formula unit) = -9.8
- spin magnetization (Bohr magnetons per cell) = 0.00

Lattice parameters (Å, degrees): 5.5484 5.5484 5.5484 90.00 90.00 90.00
With the nearest neighbours (Å) after each atom.
Atoms (fractional coordinates):
Sr  0.0000  0.0000  0.0000  12 Mg 3.92
Mg  0.0000  0.5000  0.5000  2 Sn 2.77
Mg  0.5000  0.0000  0.5000  2 Sn 2.77
Mg  0.5000  0.5000  0.0000  2 Sn 2.77
Sn  0.5000  0.5000  0.5000  6 Mg 2.77

Record 2
A relaxed SrMg3Sn crystal, computed with PBE.

- distance to the lowest polymorph of the same formula (eV per atom) = 0.915
- total energy (eV per formula unit) = -5.2
- spin magnetization (Bohr magnetons per cell) = 0.00

Lattice parameters (Å, degrees): 6.0311 6.0311 6.0311 90.00 90.00 90.00
With the nearest neighbours (Å) after each atom.
Atoms (fractional coordinates):
Sr  0.0000  0.0000  0.0000  6 Mg 3.02
Mg  0.0000  0.0000  0.5000  2 Sr 3.02
Mg  0.0000  0.5000  0.0000  2 Sr 3.02
Mg  0.5000  0.0000  0.0000  2 Sr 3.02
Sn  0.5000  0.5000  0.5000  12 Mg 4.26

Record 3
A relaxed Sr12Mg5Sn3 crystal, computed with PBE.

- total energy (eV per formula unit) = -38.0
- spin magnetization (Bohr magnetons per cell) = 0.00

Lattice parameters (Å, degrees): 17.1718 17.1718 17.1718 109.47 109.47 109.47
With the nearest neighbours (Å) after each atom.
Atoms (fractional coordinates):
Sr  0.0617  0.2290  0.1309  2 Mg 3.32-3.37, 1 Sn 3.42
Sr  0.0617  0.3327  0.9308  2 Mg 3.32-3.37, 1 Sn 3.42
Sr  0.0692  0.6309  0.4019  2 Mg 3.32-3.37, 1 Sn 3.42
Sr  0.0692  0.9383  0.6673  2 Mg 3.32-3.37, 1 Sn 3.42
Sr  0.0981  0.7290  0.6673  2 Mg 3.32-3.37, 1 Sn 3.42
Sr  0.0981  0.8691  0.4308  2 Mg 3.32-3.37, 1 Sn 3.42
Sr  0.1309  0.0617  0.2290  2 Mg 3.32-3.37, 1 Sn 3.42
Sr  0.1309  0.5692  0.9019  2 Mg 3.32-3.37, 1 Sn 3.42
Sr  0.1673  0.2290  0.5981  2 Mg 3.32-3.37, 1 Sn 3.42
Sr  0.1673  0.4383  0.5692  2 Mg 3.32-3.37, 1 Sn 3.42
Sr  0.2290  0.1309  0.0617  2 Mg 3.32-3.37, 1 Sn 3.42
Sr  0.2290  0.5981  0.1673  2 Mg 3.32-3.37, 1 Sn 3.42
Sr  0.2710  0.3327  0.9019  2 Mg 3.32-3.37, 1 Sn 3.42
Sr  0.2710  0.4383  0.3691  2 Mg 3.32-3.37, 1 Sn 3.42
Sr  0.3327  0.9019  0.2710  2 Mg 3.32-3.37, 1 Sn 3.42
Sr  0.3327  0.9308  0.0617  2 Mg 3.32-3.37, 1 Sn 3.42
Sr  0.3691  0.2710  0.4383  2 Mg 3.32-3.37, 1 Sn 3.42
Sr  0.3691  0.5981  0.9308  2 Mg 3.32-3.37, 1 Sn 3.42
Sr  0.4019  0.0692  0.6309  2 Mg 3.32-3.37, 1 Sn 3.42
Sr  0.4019  0.8327  0.7710  2 Mg 3.32-3.37, 1 Sn 3.42
Sr  0.4308  0.0981  0.8691  2 Mg 3.32-3.37, 1 Sn 3.42
Sr  0.4308  0.8327  0.5617  2 Mg 3.32-3.37, 1 Sn 3.42
Sr  0.4383  0.3691  0.2710  2 Mg 3.32-3.37, 1 Sn 3.42
Sr  0.4383  0.5692  0.1673  2 Mg 3.32-3.37, 1 Sn 3.42
Sr  0.5617  0.4308  0.8327  2 Mg 3.32-3.37, 1 Sn 3.42
Sr  0.5617  0.6309  0.7290  2 Mg 3.32-3.37, 1 Sn 3.42
Sr  0.5692  0.1673  0.4383  2 Mg 3.32-3.37, 1 Sn 3.42
Sr  0.5692  0.9019  0.1309  2 Mg 3.32-3.37, 1 Sn 3.42
Sr  0.5981  0.1673  0.2290  2 Mg 3.32-3.37, 1 Sn 3.42
Sr  0.5981  0.9308  0.3691  2 Mg 3.32-3.37, 1 Sn 3.42
Sr  0.6309  0.4019  0.0692  2 Mg 3.32-3.37, 1 Sn 3.42
Sr  0.6309  0.7290  0.5617  2 Mg 3.32-3.37, 1 Sn 3.42
Sr  0.6673  0.0692  0.9383  2 Mg 3.32-3.37, 1 Sn 3.42
Sr  0.6673  0.0981  0.7290  2 Mg 3.32-3.37, 1 Sn 3.42
Sr  0.7290  0.5617  0.6309  2 Mg 3.32-3.37, 1 Sn 3.42
Sr  0.7290  0.6673  0.0981  2 Mg 3.32-3.37, 1 Sn 3.42
Sr  0.7710  0.4019  0.8327  2 Mg 3.32-3.37, 1 Sn 3.42
Sr  0.7710  0.8691  0.9383  2 Mg 3.32-3.37, 1 Sn 3.42
Sr  0.8327  0.5617  0.4308  2 Mg 3.32-3.37, 1 Sn 3.42
Sr  0.8327  0.7710  0.4019  2 Mg 3.32-3.37, 1 Sn 3.42
Sr  0.8691  0.4308  0.0981  2 Mg 3.32-3.37, 1 Sn 3.42
Sr  0.8691  0.9383  0.7710  2 Mg 3.32-3.37, 1 Sn 3.42
Sr  0.9019  0.1309  0.5692  2 Mg 3.32-3.37, 1 Sn 3.42
Sr  0.9019  0.2710  0.3327  2 Mg 3.32-3.37, 1 Sn 3.42
Sr  0.9308  0.0617  0.3327  2 Mg 3.32-3.37, 1 Sn 3.42
Sr  0.9308  0.3691  0.5981  2 Mg 3.32-3.37, 1 Sn 3.42
Sr  0.9383  0.6673  0.0692  2 Mg 3.32-3.37, 1 Sn 3.42
Sr  0.9383  0.7710  0.8691  2 Mg 3.32-3.37, 1 Sn 3.42
Mg  0.0000  0.0000  0.0000  6 Sr 3.37
Mg  0.0000  0.0000  0.5000  6 Sr 3.37
Mg  0.0000  0.5000  0.0000  6 Sr 3.37
Mg  0.0000  0.5000  0.5000  6 Sr 3.37
Mg  0.1250  0.7500  0.8750  4 Sr 3.32
Mg  0.1250  0.8750  0.2500  4 Sr 3.32
Mg  0.2500  0.1250  0.8750  4 Sr 3.32
Mg  0.2500  0.6250  0.3750  4 Sr 3.32
Mg  0.3750  0.2500  0.6250  4 Sr 3.32
Mg  0.3750  0.6250  0.7500  4 Sr 3.32
Mg  0.5000  0.0000  0.0000  6 Sr 3.37
Mg  0.5000  0.0000  0.5000  6 Sr 3.37
Mg  0.5000  0.5000  0.0000  6 Sr 3.37
Mg  0.5000  0.5000  0.5000  6 Sr 3.37
Mg  0.6250  0.3750  0.2500  4 Sr 3.32
Mg  0.6250  0.7500  0.3750  4 Sr 3.32
Mg  0.7500  0.3750  0.6250  4 Sr 3.32
Mg  0.7500  0.8750  0.1250  4 Sr 3.32
Mg  0.8750  0.1250  0.7500  4 Sr 3.32
Mg  0.8750  0.2500  0.1250  4 Sr 3.32
Sn  0.1250  0.2500  0.3750  8 Sr 3.42-3.82
Sn  0.1250  0.3750  0.7500  8 Sr 3.42-3.82
Sn  0.2500  0.3750  0.1250  8 Sr 3.42-3.82
Sn  0.2500  0.8750  0.6250  8 Sr 3.42-3.82
Sn  0.3750  0.1250  0.2500  8 Sr 3.42-3.82
Sn  0.3750  0.7500  0.1250  8 Sr 3.42-3.82
Sn  0.6250  0.2500  0.8750  8 Sr 3.42-3.82
Sn  0.6250  0.8750  0.7500  8 Sr 3.42-3.82
Sn  0.7500  0.1250  0.3750  8 Sr 3.42-3.82
Sn  0.7500  0.6250  0.8750  8 Sr 3.42-3.82
Sn  0.8750  0.6250  0.2500  8 Sr 3.42-3.82
Sn  0.8750  0.7500  0.6250  8 Sr 3.42-3.82

Record 4
A relaxed SrMgSn2 crystal, computed with PBE.

- total energy (eV per formula unit) = -12.6
- spin magnetization (Bohr magnetons per cell) = 0.00

Lattice parameters (Å, degrees): 4.9268 4.9268 17.2264 90.00 90.00 120.00
With the nearest neighbours (Å) after each atom.
Atoms (fractional coordinates):
Sr  0.0000  0.0000  0.0000  8 Sn 3.44-3.81
Sr  0.3333  0.6667  0.6667  8 Sn 3.44-3.81
Sr  0.6667  0.3333  0.3333  8 Sn 3.44-3.81
Mg  0.0000  0.0000  0.5000  6 Sn 3.00
Mg  0.3333  0.6667  0.1667  6 Sn 3.00
Mg  0.6667  0.3333  0.8333  6 Sn 3.00
Sn  0.0000  0.0000  0.2212  3 Mg 3.00
Sn  0.0000  0.0000  0.7788  3 Mg 3.00
Sn  0.3333  0.6667  0.4454  3 Mg 3.00
Sn  0.3333  0.6667  0.8879  3 Mg 3.00
Sn  0.6667  0.3333  0.1121  3 Mg 3.00
Sn  0.6667  0.3333  0.5546  3 Mg 3.00

Record 5
A relaxed SrMg6Sn crystal, computed with PBE.

- total energy (eV per formula unit) = -15.7
- spin magnetization (Bohr magnetons per cell) = 0.00

Lattice parameters (Å, degrees): 5.0742 6.3487 13.2549 90.00 90.00 90.00
With the nearest neighbours (Å) after each atom.
Atoms (fractional coordinates):
Sr  0.0000  0.0000  0.0000  2 Sn 3.28, 8 Mg 3.40-3.54
Sr  0.0000  0.5000  0.5000  2 Sn 3.28, 8 Mg 3.40-3.54
Mg  0.0000  0.2404  0.7363  8 Mg 3.05-3.41, 1 Sn 3.14
Mg  0.0000  0.2596  0.2363  8 Mg 3.05-3.41, 1 Sn 3.14
Mg  0.0000  0.7404  0.2363  8 Mg 3.05-3.41, 1 Sn 3.14
Mg  0.0000  0.7596  0.7363  8 Mg 3.05-3.41, 1 Sn 3.14
Mg  0.5000  0.0000  0.1711  8 Mg 3.14-3.28, 2 Sr 3.40
Mg  0.5000  0.0000  0.6088  8 Mg 3.28-3.50, 2 Sn 3.40
Mg  0.5000  0.2458  0.8741  5 Mg 3.12-3.23, 2 Sn 3.12, 2 Sr 3.41
Mg  0.5000  0.2542  0.3741  5 Mg 3.12-3.23, 2 Sn 3.12, 2 Sr 3.41
Mg  0.5000  0.5000  0.1088  8 Mg 3.28-3.50, 2 Sn 3.40
Mg  0.5000  0.5000  0.6711  8 Mg 3.14-3.28, 2 Sr 3.40
Mg  0.5000  0.7458  0.3741  5 Mg 3.12-3.23, 2 Sn 3.12, 2 Sr 3.41
Mg  0.5000  0.7542  0.8741  5 Mg 3.12-3.23, 2 Sn 3.12, 2 Sr 3.41
Sn  0.0000  0.0000  0.4378  8 Mg 3.12-3.40, 2 Sr 3.28
Sn  0.0000  0.5000  0.9378  8 Mg 3.12-3.40, 2 Sr 3.28

Record 6
A relaxed SrMg4Sn4 crystal, computed with PBE.

- total energy (eV per formula unit) = -25.5
- spin magnetization (Bohr magnetons per cell) = 0.00

Lattice parameters (Å, degrees): 9.4559 9.4559 6.1358 90.00 90.00 90.00
With the nearest neighbours (Å) after each atom.
Atoms (fractional coordinates):
Sr  0.2500  0.2500  0.2500  4 Sn 3.54, 4 Mg 3.81
Sr  0.7500  0.7500  0.7500  4 Sn 3.54, 4 Mg 3.81
Mg  0.1003  0.6149  0.1269  5 Sn 2.87-3.19
Mg  0.1149  0.8997  0.6269  5 Sn 2.87-3.19
Mg  0.3851  0.6003  0.6269  5 Sn 2.87-3.19
Mg  0.3997  0.8851  0.1269  5 Sn 2.87-3.19
Mg  0.6003  0.1149  0.8731  5 Sn 2.87-3.19
Mg  0.6149  0.3997  0.3731  5 Sn 2.87-3.19
Mg  0.8851  0.1003  0.3731  5 Sn 2.87-3.19
Mg  0.8997  0.3851  0.8731  5 Sn 2.87-3.19
Sn  0.0814  0.5899  0.6441  5 Mg 2.87-3.19, 1 Sn 2.90
Sn  0.0899  0.9186  0.1441  5 Mg 2.87-3.19, 1 Sn 2.90
Sn  0.4101  0.5814  0.1441  5 Mg 2.87-3.19, 1 Sn 2.90
Sn  0.4186  0.9101  0.6441  5 Mg 2.87-3.19, 1 Sn 2.90
Sn  0.5814  0.0899  0.3559  5 Mg 2.87-3.19, 1 Sn 2.90
Sn  0.5899  0.4186  0.8559  5 Mg 2.87-3.19, 1 Sn 2.90
Sn  0.9101  0.0814  0.8559  5 Mg 2.87-3.19, 1 Sn 2.90
Sn  0.9186  0.4101  0.3559  5 Mg 2.87-3.19, 1 Sn 2.90

Record 7
A relaxed SrMg3Sn3 crystal, computed with PBE.

- total energy (eV per formula unit) = -17.8
- spin magnetization (Bohr magnetons per cell) = 0.00

Lattice parameters (Å, degrees): 7.8790 7.8790 7.8790 90.00 90.00 90.00
With the nearest neighbours (Å) after each atom.
Atoms (fractional coordinates):
Sr  0.0000  0.0000  0.0000  12 Sn 4.40, 12 Mg 4.40
Sr  0.5000  0.5000  0.5000  12 Sn 4.40, 12 Mg 4.40
Mg  0.0000  0.2500  0.5000  4 Sn 2.79
Mg  0.0000  0.7500  0.5000  4 Sn 2.79
Mg  0.2500  0.5000  0.0000  4 Sn 2.79
Mg  0.5000  0.0000  0.2500  4 Sn 2.79
Mg  0.5000  0.0000  0.7500  4 Sn 2.79
Mg  0.7500  0.5000  0.0000  4 Sn 2.79
Sn  0.0000  0.5000  0.2500  4 Mg 2.79
Sn  0.0000  0.5000  0.7500  4 Mg 2.79
Sn  0.2500  0.0000  0.5000  4 Mg 2.79
Sn  0.5000  0.2500  0.0000  4 Mg 2.79
Sn  0.5000  0.7500  0.0000  4 Mg 2.79
Sn  0.7500  0.0000  0.5000  4 Mg 2.79

Record 8
A relaxed SrMg12Sn6 crystal, computed with PBE.

- total energy (eV per formula unit) = -46.7
- spin magnetization (Bohr magnetons per cell) = 0.00

Lattice parameters (Å, degrees): 8.4934 8.4934 8.4934 106.99 106.99 106.99
With the nearest neighbours (Å) after each atom.
Atoms (fractional coordinates):
Sr  0.0000  0.0000  0.0000  6 Mg 3.77, 6 Sn 4.12
Mg  0.1102  0.5000  0.8898  4 Sn 2.84-2.92, 1 Mg 3.01
Mg  0.1102  0.8898  0.5000  4 Sn 2.84-2.92, 1 Mg 3.01
Mg  0.1852  0.4236  0.4236  2 Sn 2.92-3.17, 2 Mg 3.26
Mg  0.4236  0.1852  0.4236  2 Sn 2.92-3.17, 2 Mg 3.26
Mg  0.4236  0.4236  0.1852  2 Sn 2.92-3.17, 2 Mg 3.26
Mg  0.5000  0.1102  0.8898  4 Sn 2.84-2.92, 1 Mg 3.01
Mg  0.5000  0.8898  0.1102  4 Sn 2.84-2.92, 1 Mg 3.01
Mg  0.5764  0.5764  0.8148  2 Sn 2.92-3.17, 2 Mg 3.26
Mg  0.5764  0.8148  0.5764  2 Sn 2.92-3.17, 2 Mg 3.26
Mg  0.8148  0.5764  0.5764  2 Sn 2.92-3.17, 2 Mg 3.26
Mg  0.8898  0.1102  0.5000  4 Sn 2.84-2.92, 1 Mg 3.01
Mg  0.8898  0.5000  0.1102  4 Sn 2.84-2.92, 1 Mg 3.01
Sn  0.2424  0.7331  0.7331  6 Mg 2.84-3.17
Sn  0.2669  0.2669  0.7576  6 Mg 2.84-3.17
Sn  0.2669  0.7576  0.2669  6 Mg 2.84-3.17
Sn  0.7331  0.2424  0.7331  6 Mg 2.84-3.17
Sn  0.7331  0.7331  0.2424  6 Mg 2.84-3.17
Sn  0.7576  0.2669  0.2669  6 Mg 2.84-3.17

> Look up the total energy of the sixth one.

-25.5 eV per formula unit